<i>
The following is a PBE calculation of crystalline HfAl2V2 at its relaxed geometry, from Alexandria.

The structure in POSCAR format:
```
HfAl2V2
1.0
3.974 0.000 0.000
0.000 3.974 0.000
1.987 1.987 5.401
V Al Hf
2 2 1
Direct
0.411 0.411 0.179
0.589 0.589 0.821
0.750 0.250 0.500
0.250 0.750 0.500
0.000 0.000 0.000
```

Values from the calculation:
Spin magnetization, μB per cell: 0.00

=====

<ii>
The following is a PBE calculation of crystalline HfAl2V2 at its relaxed geometry, from Alexandria.

The structure in POSCAR format:
```
HfAl2V2
1.0
7.156 0.000 0.000
0.000 7.156 0.000
0.000 0.000 3.146
Al V Hf
4 4 2
Direct
0.376 0.876 0.000
0.876 0.624 0.000
0.624 0.124 0.000
0.124 0.376 0.000
0.673 0.827 0.500
0.827 0.327 0.500
0.173 0.673 0.500
0.327 0.173 0.500
0.500 0.500 0.000
0.000 0.000 0.000
```

Values from the calculation:
Spin magnetization, μB per cell: 0.00

=====

<iii>
The following is a PBE calculation of crystalline HfAl2V2 at its relaxed geometry, from Alexandria.

The structure in POSCAR format:
```
HfAl2V2
1.0
3.126 0.000 0.000
0.000 4.215 -0.385
-1.563 -1.552 6.323
Al Hf V
2 1 2
Direct
0.398 0.397 0.795
0.602 0.603 0.205
0.000 0.000 0.000
0.731 0.232 0.463
0.269 0.768 0.537
```

Values from the calculation:
Spin magnetization, μB per cell: 0.00

=====

Among the structures above, stability is greatest for <iii>.